A plane-wave DFT calculation with PBE was carried out for Ho4Er3Al after structural relaxation.

Structure (POSCAR):
```
Ho4Er3Al
1.0
3.5059 0.0000 0.0000
0.0000 3.5059 0.0000
0.0000 0.0000 18.8878
Er Ho Al
3 4 1
Direct
0.5000 0.5000 0.7637
0.5000 0.5000 0.5000
0.5000 0.5000 0.2363
0.0000 0.0000 0.6326
0.0000 0.0000 0.1013
0.0000 0.0000 0.8987
0.0000 0.0000 0.3674
0.5000 0.5000 0.0000
```

- excess energy over the best structure of this formula in the dataset (eV per formula unit) = 0.00
- calculated formation energy (eV/f.u.) = -0.7



A plane-wave DFT calculation with PBE was carried out for YMgCu after structural relaxation.

Structure (POSCAR):
```
YMgCu
1.0
-7.1750 -3.9255 2.3818
4.7612 -3.2616 -6.2655
1.5679 -1.6285 2.0392
Cu Y Mg
3 3 3
Direct
0.3576 0.3576 0.5000
0.0000 0.6424 0.5000
0.6424 0.0000 0.5000
0.0000 0.3089 0.0000
0.6911 0.6911 0.0000
0.3089 0.0000 0.0000
0.6667 0.3333 0.0000
0.0000 0.0000 0.5000
0.3333 0.6667 0.0000
```

- excess energy over the best structure of this formula in the dataset (eV per formula unit) = 1.20
- calculated formation energy (eV/f.u.) = 0.5



A plane-wave DFT calculation with PBE was carried out for CuH6Pd8 after structural relaxation.

Structure (POSCAR):
```
CuH6Pd8
1.0
5.8466 -1.4484 2.0577
1.5332 3.2409 1.9069
0.8573 0.2091 7.6156
Pd H Cu
8 6 1
Direct
0.2220 0.5651 0.3238
0.6733 0.6637 0.9999
0.7780 0.4349 0.6762
0.3267 0.3363 0.0001
0.1084 0.7702 0.6749
0.8916 0.2298 0.3251
0.4366 0.1050 0.6767
0.5634 0.8950 0.3233
0.2293 0.0771 0.3066
0.7707 0.9229 0.6934
0.1209 0.3008 0.6493
0.4287 0.5936 0.6958
0.5713 0.4064 0.3042
0.8791 0.6992 0.3507
0.0000 0.0000 0.0000
```

- excess energy over the best structure of this formula in the dataset (eV per formula unit) = 0.00



A plane-wave DFT calculation with PBE was carried out for Rb2CrSnBr6 after structural relaxation.

Structure (POSCAR):
```
Rb2CrSnBr6
1.0
7.8825 0.0000 0.0000
0.0000 7.8825 0.0000
3.9412 3.9412 5.5798
Br Cr Rb Sn
6 1 2 1
Direct
0.2632 0.7368 0.0000
0.2630 0.2630 0.4739
0.2632 0.2632 0.0000
0.7368 0.2632 0.0000
0.7370 0.7370 0.5261
0.7368 0.7368 0.0000
0.5000 0.5000 0.0000
0.2500 0.7500 0.5000
0.7500 0.2500 0.5000
0.0000 0.0000 0.0000
```

- excess energy over the best structure of this formula in the dataset (eV per formula unit) = 0.08
- E_form (uncorrected) (eV/atom) = -1.115



A plane-wave DFT calculation with PBE was carried out for Dy8Ni2Te after structural relaxation.

Structure (POSCAR):
```
Dy8Ni2Te
1.0
5.6268 -0.0044 -0.0066
-0.9347 7.6613 -0.1841
-0.9347 -3.1206 6.9993
Ni Dy Te
2 8 1
Direct
0.0000 0.3022 0.6978
0.0000 0.6978 0.3022
0.7024 0.3935 0.3935
0.5000 0.2481 0.7519
0.9022 0.9228 0.6624
0.0978 0.0772 0.3376
0.9022 0.6624 0.9228
0.5000 0.7519 0.2481
0.2976 0.6065 0.6065
0.0978 0.3376 0.0772
0.5000 0.0000 0.0000
```

- E_form (uncorrected) (eV/atom) = -0.267



A plane-wave DFT calculation with PBE was carried out for TmScAgGe after structural relaxation.

Structure (POSCAR):
```
TmScAgGe
1.0
4.9089 0.0000 0.0000
2.4545 4.2513 0.0000
2.4545 1.4171 4.0081
Ge Ag Tm Sc
1 1 1 1
Direct
0.2500 0.2500 0.2500
0.7500 0.7500 0.7500
0.0000 0.0000 0.0000
0.5000 0.5000 0.5000
```

- calculated formation energy (eV/f.u.) = -2.0



| no. | energy (eV per atom) |
| --- | --- |
| 1 | -4.550 |
| 2 | -3.870 |
| 3 | -4.462 |
| 4 | -3.675 |
| 5 | -4.951 |
| 6 | -5.069 |